[1]
Density functional theory data (PBEsol) for Ca2YMn2 after structural relaxation.

## Properties
Final energy   -5.5685 eV/atom
V   229.90 Å³/cell
Magnetization   0.0 μB/cell
Density of states at the Fermi level   7.1 states/eV/f.u.

Cell lengths 3.195, 3.195, 22.524 Å; angles 90.00, 90.00, 90.00 degrees
Space group I4/mmm (No. 139)
Unique sites:
Ca (0.000, 0.000, 0.136) x4
Y (0.000, 0.000, 0.500) x2
Mn (0.000, 0.500, 0.250) x4

---

[2]
Density functional theory data (PBEsol) for CaMn2Zn after structural relaxation.

## Properties
Final energy   -5.2381 eV/atom
V   133.69 Å³/cell
Magnetization   13.1 μB/cell
Density of states at the Fermi level   4.5 states/eV/f.u.

Cell lengths 4.149, 4.149, 7.766 Å; angles 90.00, 90.00, 90.00 degrees
Space group I4/mmm (No. 139)
Unique sites:
Ca (0.000, 0.000, 0.000) x2
Mn (0.000, 0.500, 0.250) x4
Zn (0.000, 0.000, 0.500) x2

---

[3]
Density functional theory data (PBEsol) for Ca2MnZn after structural relaxation.

## Properties
Final energy   -3.6954 eV/atom
V   200.52 Å³/cell
Magnetization   6.4 μB/cell
Density of states at the Fermi level   4.5 states/eV/f.u.

Cell lengths 4.365, 4.115, 11.163 Å; angles 90.00, 90.00, 90.00 degrees
Space group Amm2 (No. 38)
Unique sites:
Ca (0.000, 0.000, 0.000) x2
Ca (0.500, 0.000, 0.296) x2
Mn (0.500, 0.000, 0.593) x2
Zn (0.000, 0.000, 0.708) x2

---

[4]
Density functional theory data (PBEsol) for CaZrMn3 after structural relaxation.

## Properties
Final energy   -6.4031 eV/atom
V   93.46 Å³/cell
Magnetization   8.8 μB/cell
Density of states at the Fermi level   6.3 states/eV/f.u.

Cell lengths 4.538, 4.538, 4.538 Å; angles 90.00, 90.00, 90.00 degrees
Space group Pm-3m (No. 221)
Unique sites:
Ca (0.000, 0.000, 0.000) x1
Zr (0.500, 0.500, 0.500) x1
Mn (0.000, 0.000, 0.500) x3

---

[5]
Density functional theory data (PBEsol) for CaZrMn2 after structural relaxation.

## Properties
Final energy   -7.1545 eV/atom
V   74.79 Å³/cell
Magnetization   5.4 μB/cell
Density of states at the Fermi level   5.8 states/eV/f.u.

Cell lengths 4.888, 4.888, 3.130 Å; angles 90.00, 90.00, 90.00 degrees
Space group P4/mmm (No. 123)
Unique sites:
Ca (0.000, 0.000, 0.000) x1
Zr (0.500, 0.500, 0.000) x1
Mn (0.000, 0.500, 0.500) x2

---

[6]
Density functional theory data (PBEsol) for CaZrMn2 after structural relaxation.

## Properties
Final energy   -7.2084 eV/atom
V   78.22 Å³/cell
Magnetization   0.0 μB/cell
Density of states at the Fermi level   2.7 states/eV/f.u.

Cell lengths 3.472, 3.472, 6.490 Å; angles 90.00, 90.00, 90.00 degrees
Space group P4/mmm (No. 123)
Unique sites:
Ca (0.000, 0.000, 0.000) x1
Zr (0.000, 0.000, 0.500) x1
Mn (0.500, 0.500, 0.343) x2

---

[7]
Density functional theory data (PBEsol) for CaMo after structural relaxation.

## Properties
Final energy   -6.4061 eV/atom
V   185.23 Å³/cell
Magnetization   0.0 μB/cell
E above lowest polymorph   124 meV/atom
Density of states at the Fermi level   1.4 states/eV/f.u.

Cell lengths 3.404, 5.414, 10.051 Å; angles 90.00, 90.00, 90.00 degrees
Space group Imma (No. 74)
Unique sites:
Ca (0.000, 0.250, 0.104) x4
Mo (0.000, 0.250, 0.670) x4

---

[8]
Density functional theory data (PBEsol) for CaMo after structural relaxation.

## Properties
Final energy   -6.5298 eV/atom
V   195.09 Å³/cell
Magnetization   0.0 μB/cell
E above lowest polymorph   0 meV/atom
Density of states at the Fermi level   2.4 states/eV/f.u.

Cell lengths 3.264, 18.117, 3.299 Å; angles 90.00, 90.00, 90.00 degrees
Space group Cmcm (No. 63)
Unique sites:
Ca (0.000, 0.098, 0.250) x4
Mo (0.000, 0.281, 0.250) x4

---

> Look up the final energy of the first one.

-5.5685 eV/atom